[1]
The following is a PBE calculation of a geometry-optimized La2Pd2Br structure, from the Alexandria database.

Unit cell a=8.3036 b=8.3036 c=3.7237 alpha=90.00 beta=90.00 gamma=90.00
Positions (direct):
Pd: 0.1205 0.3795 0.0000
Pd: 0.3795 0.8795 0.0000
Pd: 0.6205 0.1205 0.0000
Pd: 0.8795 0.6205 0.0000
La: 0.3266 0.1734 0.5000
La: 0.8266 0.3266 0.5000
La: 0.1734 0.6734 0.5000
La: 0.6734 0.8266 0.5000
Br: 0.0000 0.0000 0.0000
Br: 0.5000 0.5000 0.0000

Results
Uncorrected energy: -5.308 eV per atom
E_form (uncorrected): -0.926 eV/atom


[2]
The following is a PBE calculation of a geometry-optimized La2Pd2Br structure, from the Alexandria database.

Unit cell a=3.9574 b=3.9574 c=8.9414 alpha=77.21 beta=77.21 gamma=90.00
Positions (direct):
La: 0.6243 0.6243 0.7514
La: 0.3757 0.3757 0.2486
Pd: 0.7500 0.2500 0.5000
Pd: 0.2500 0.7500 0.5000
Br: 0.0000 0.0000 0.0000

Results
Uncorrected energy: -5.265 eV per atom
E_form (uncorrected): -0.883 eV/atom


[3]
The following is a PBE calculation of a geometry-optimized La3PdBr2 structure, from the Alexandria database.

Unit cell a=7.6425 b=7.6724 c=7.5409 alpha=80.50 beta=59.55 gamma=71.00
Positions (direct):
Pd: 0.6687 0.0000 0.6625
Pd: 0.3313 0.0000 0.3375
Br: 0.0000 0.0000 0.0000
Br: 0.5000 0.5000 0.0000
Br: 0.8480 0.5000 0.3039
Br: 0.1520 0.5000 0.6961
La: 0.5662 0.2314 0.3568
La: 0.7161 0.7832 0.0000
La: 0.9230 0.2314 0.6432
La: 0.4338 0.7686 0.6432
La: 0.0770 0.7686 0.3568
La: 0.2839 0.2168 0.0000

Results
Uncorrected energy: -5.027 eV per atom
E_form (uncorrected): -1.141 eV/atom


[4]
The following is a PBE calculation of a geometry-optimized La4PdBr5 structure, from the Alexandria database.

Unit cell a=4.0586 b=9.0127 c=9.7067 alpha=100.18 beta=102.07 gamma=90.00
Positions (direct):
Br: 0.1670 0.3163 0.3340
Br: 0.5000 0.5000 0.0000
Br: 0.8374 0.2049 0.6748
Br: 0.8330 0.6837 0.6660
Br: 0.1626 0.7951 0.3252
La: 0.6710 0.0610 0.3419
La: 0.0040 0.2227 0.0079
La: 0.9960 0.7773 0.9921
La: 0.3290 0.9390 0.6581
Pd: 0.5000 0.0000 0.0000

Results
Uncorrected energy: -4.837 eV per atom
E_form (uncorrected): -1.510 eV/atom


[5]
The following is a PBE calculation of a geometry-optimized La5PdBr5 structure, from the Alexandria database.

Unit cell a=6.1058 b=7.3364 c=8.8614 alpha=107.96 beta=90.00 gamma=114.59
Positions (direct):
La: 0.5000 0.0000 0.0000
La: 0.8223 0.6446 0.1471
La: 0.8458 0.6916 0.6978
La: 0.1542 0.3084 0.3022
La: 0.1777 0.3554 0.8529
Br: 0.0000 0.0000 0.5000
Br: 0.3511 0.7022 0.2012
Br: 0.6489 0.2978 0.7988
Br: 0.3370 0.6739 0.6437
Br: 0.6630 0.3261 0.3563
Pd: 0.0000 0.0000 0.0000

Results
Uncorrected energy: -4.820 eV per atom
E_form (uncorrected): -1.348 eV/atom


[6]
The following is a PBE calculation of a geometry-optimized La3Pd2Br structure, from the Alexandria database.

Unit cell a=4.5784 b=7.7847 c=10.1176 alpha=90.00 beta=90.00 gamma=107.10
Positions (direct):
Br: 0.2198 0.4396 0.2500
Br: 0.7802 0.5604 0.7500
Pd: 0.0000 0.0000 0.5000
Pd: 0.5170 0.0339 0.7500
Pd: 0.0000 0.0000 0.0000
Pd: 0.4830 0.9661 0.2500
La: 0.8766 0.7533 0.2500
La: 0.1234 0.2467 0.7500
La: 0.6265 0.2531 0.0454
La: 0.3735 0.7469 0.5454
La: 0.3735 0.7469 0.9546
La: 0.6265 0.2531 0.4546

Results
Uncorrected energy: -5.214 eV per atom
E_form (uncorrected): -0.740 eV/atom


[7]
The following is a PBE calculation of a geometry-optimized La4Pd2Br3 structure, from the Alexandria database.

Unit cell a=4.2565 b=4.2565 c=18.9073 alpha=90.07 beta=89.93 gamma=120.00
Positions (direct):
La: 0.3337 0.6663 0.8767
La: 0.6663 0.3337 0.1233
La: 0.9990 0.0010 0.3007
La: 0.0010 0.9990 0.6993
Br: 0.6653 0.3347 0.4029
Br: 0.3347 0.6653 0.5971
Br: 0.0000 0.0000 0.0000
Pd: 0.6673 0.3327 0.7924
Pd: 0.3327 0.6673 0.2076

Results
Uncorrected energy: -5.150 eV per atom
E_form (uncorrected): -1.248 eV/atom


[8]
The following is a PBE calculation of a geometry-optimized La4PdBr2 structure, from the Alexandria database.

Unit cell a=3.8741 b=7.4059 c=15.6007 alpha=90.00 beta=90.00 gamma=105.16
Positions (direct):
Br: 0.8441 0.6883 0.5671
Br: 0.1559 0.3117 0.0671
Br: 0.8441 0.6883 0.9329
Br: 0.1559 0.3117 0.4329
Pd: 0.5790 0.1580 0.7500
Pd: 0.4210 0.8420 0.2500
La: 0.9230 0.8460 0.7500
La: 0.1795 0.3590 0.6330
La: 0.0770 0.1540 0.2500
La: 0.8205 0.6410 0.1330
La: 0.5000 0.0000 0.5000
La: 0.8205 0.6410 0.3670
La: 0.1795 0.3590 0.8670
La: 0.5000 0.0000 0.0000

Results
Uncorrected energy: -4.976 eV per atom
E_form (uncorrected): -0.941 eV/atom


Which value of E_form (uncorrected) does entry 6 give? -0.740 eV/atom


Please write out number 8 again, unchanged.
The following is a PBE calculation of a geometry-optimized La4PdBr2 structure, from the Alexandria database.

Unit cell a=3.8741 b=7.4059 c=15.6007 alpha=90.00 beta=90.00 gamma=105.16
Positions (direct):
Br: 0.8441 0.6883 0.5671
Br: 0.1559 0.3117 0.0671
Br: 0.8441 0.6883 0.9329
Br: 0.1559 0.3117 0.4329
Pd: 0.5790 0.1580 0.7500
Pd: 0.4210 0.8420 0.2500
La: 0.9230 0.8460 0.7500
La: 0.1795 0.3590 0.6330
La: 0.0770 0.1540 0.2500
La: 0.8205 0.6410 0.1330
La: 0.5000 0.0000 0.5000
La: 0.8205 0.6410 0.3670
La: 0.1795 0.3590 0.8670
La: 0.5000 0.0000 0.0000

Results
Uncorrected energy: -4.976 eV per atom
E_form (uncorrected): -0.941 eV/atom


What did the fifth record say?
The following is a PBE calculation of a geometry-optimized La5PdBr5 structure, from the Alexandria database.

Unit cell a=6.1058 b=7.3364 c=8.8614 alpha=107.96 beta=90.00 gamma=114.59
Positions (direct):
La: 0.5000 0.0000 0.0000
La: 0.8223 0.6446 0.1471
La: 0.8458 0.6916 0.6978
La: 0.1542 0.3084 0.3022
La: 0.1777 0.3554 0.8529
Br: 0.0000 0.0000 0.5000
Br: 0.3511 0.7022 0.2012
Br: 0.6489 0.2978 0.7988
Br: 0.3370 0.6739 0.6437
Br: 0.6630 0.3261 0.3563
Pd: 0.0000 0.0000 0.0000

Results
Uncorrected energy: -4.820 eV per atom
E_form (uncorrected): -1.348 eV/atom


What is the uncorrected energy in the third record? -5.027 eV per atom